Al2PdI4Br4 | GGA-PBE | optimized geometry

abc: 8.0411 8.0411 7.6682
angles: 93.61 93.61 68.92
Fractional positions:
1 Al 0.2198 0.2198 0.3301
2 Al 0.7802 0.7802 0.6699
3 Pd 0.0000 0.0000 0.0000
4 I 0.0924 0.6812 0.8390
5 I 0.3188 0.9076 0.1610
6 I 0.6812 0.0924 0.8390
7 I 0.9076 0.3188 0.1610
8 Br 0.1936 0.1936 0.6215
9 Br 0.3850 0.3850 0.2696
10 Br 0.6150 0.6150 0.7304
11 Br 0.8064 0.8064 0.3785

Computed properties:
- SG = C2/m, No. 12
- total energy (eV per formula unit) = -33.81
- crystal system = monoclinic